{
  "formula": "Ba2SnHg6Sb",
  "functional": "GGA-PBE",
  "state": "relaxed",
  "lattice_angstrom": [[5.912, 0.000, 0.000], [0.000, 10.282, 0.000], [0.000, 0.000, 10.951]],
  "species": ["Ba", "Ba", "Ba", "Ba", "Sn", "Sn", "Hg", "Hg", "Hg", "Hg", "Hg", "Hg", "Hg", "Hg", "Hg", "Hg", "Hg", "Hg", "Sb", "Sb"],
  "fractional_positions": [[0.250, 0.013, 0.233], [0.250, 0.487, 0.233], [0.750, 0.513, 0.767], [0.750, 0.987, 0.767], [0.250, 0.250, 0.749], [0.750, 0.750, 0.251], [0.000, 0.250, 0.974], [0.000, 0.750, 0.026], [0.001, 0.750, 0.532], [0.250, 0.010, 0.583], [0.250, 0.490, 0.583], [0.499, 0.750, 0.532], [0.500, 0.250, 0.974], [0.500, 0.750, 0.026], [0.501, 0.250, 0.468], [0.750, 0.510, 0.417], [0.750, 0.990, 0.417], [0.999, 0.250, 0.468], [0.250, 0.750, 0.800], [0.750, 0.250, 0.200]],
  "formation_energy_uncorrected_ev_per_atom": -0.289
}

{
  "formula": "CaGe2Au3",
  "functional": "GGA-PBE",
  "state": "relaxed",
  "lattice_angstrom": [[8.581, -2.144, 0.000], [8.581, 2.144, 0.000], [-2.908, 0.000, 10.223]],
  "species": ["Ca", "Ca", "Ca", "Ge", "Ge", "Ge", "Ge", "Ge", "Ge", "Au", "Au", "Au", "Au", "Au", "Au", "Au", "Au", "Au"],
  "fractional_positions": [[0.000, 0.000, 0.000], [0.147, 0.147, 0.693], [0.853, 0.853, 0.307], [0.203, 0.203, 0.104], [0.353, 0.353, 0.550], [0.477, 0.477, 0.235], [0.523, 0.523, 0.765], [0.647, 0.647, 0.450], [0.797, 0.797, 0.896], [0.052, 0.052, 0.346], [0.227, 0.227, 0.355], [0.343, 0.343, 0.059], [0.380, 0.380, 0.817], [0.500, 0.500, 0.500], [0.620, 0.620, 0.183], [0.657, 0.657, 0.941], [0.773, 0.773, 0.645], [0.948, 0.948, 0.654]],
  "formation_enthalpy_0k_ev_per_atom": -0.3790
}

{
  "formula": "Dy2TlSi",
  "functional": "GGA-PBE",
  "state": "relaxed",
  "lattice_angstrom": [[1.968, 1.136, 8.218], [-1.968, 1.136, 8.218], [0.000, -2.272, 8.218]],
  "species": ["Dy", "Dy", "Tl", "Si"],
  "fractional_positions": [[0.236, 0.236, 0.236], [0.764, 0.764, 0.764], [0.000, 0.000, 0.000], [0.500, 0.500, 0.500]],
  "formation_energy_uncorrected_ev_per_atom": -0.399
}

{
  "formula": "BaCuCl",
  "functional": "GGA-PBE",
  "state": "relaxed",
  "lattice_angstrom": [[0.000, 3.755, 3.755], [3.755, 0.000, 3.755], [3.755, 3.755, 0.000]],
  "species": ["Ba", "Cu", "Cl"],
  "fractional_positions": [[0.000, 0.000, 0.000], [0.750, 0.750, 0.750], [0.250, 0.250, 0.250]],
  "e_above_lowest_polymorph_ev_per_atom": 0.000,
  "formation_energy_uncorrected_ev_per_atom": -0.874
}

{
  "formula": "ErTmTh6",
  "functional": "GGA-PBE",
  "state": "relaxed",
  "lattice_angstrom": [[-2.989, 2.989, 7.177], [2.989, -2.989, 7.177], [2.989, 2.989, -7.177]],
  "species": ["Er", "Tm", "Th", "Th", "Th", "Th", "Th", "Th"],
  "fractional_positions": [[0.000, 0.000, 0.000], [0.500, 0.500, 0.000], [0.127, 0.627, 0.500], [0.250, 0.250, 0.000], [0.373, 0.873, 0.500], [0.627, 0.127, 0.500], [0.750, 0.750, 0.000], [0.873, 0.373, 0.500]],
  "formation_enthalpy_0k_ev_per_atom": 0.1258,
  "e_above_lowest_polymorph_ev_per_atom": 0.074
}

{
  "formula": "AcSm7Dy2",
  "functional": "GGA-PBE",
  "state": "relaxed",
  "lattice_angstrom": [[6.316, 0.000, 0.000], [1.058, 6.233, 0.000], [3.134, 2.664, 8.721]],
  "species": ["Ac", "Sm", "Sm", "Sm", "Sm", "Sm", "Sm", "Sm", "Dy", "Dy"],
  "fractional_positions": [[0.000, 0.000, 0.000], [0.002, 0.603, 0.794], [0.495, 0.097, 0.304], [0.499, 0.693, 0.103], [0.500, 0.500, 0.500], [0.501, 0.307, 0.897], [0.505, 0.903, 0.696], [0.998, 0.397, 0.206], [0.002, 0.203, 0.596], [0.998, 0.797, 0.404]],
  "formation_enthalpy_0k_ev_per_atom": 0.0309,
  "e_above_lowest_polymorph_ev_per_atom": 0.000
}

{
  "formula": "MgScS2",
  "functional": "GGA-PBE",
  "state": "relaxed",
  "lattice_angstrom": [[1.934, 1.116, 7.460], [-1.934, 1.116, 7.460], [0.000, -2.233, 7.460]],
  "species": ["Mg", "Sc", "S", "S"],
  "fractional_positions": [[0.000, 0.000, 0.000], [0.500, 0.500, 0.500], [0.394, 0.394, 0.394], [0.606, 0.606, 0.606]],
  "formation_energy_uncorrected_ev_per_atom": -0.967
}

{
  "formula": "Na3BeH6",
  "functional": "GGA-PBE",
  "state": "relaxed",
  "lattice_angstrom": [[-2.368, 2.404, 4.350], [2.368, -2.404, 4.350], [2.368, 2.404, -4.350]],
  "species": ["Na", "Na", "Na", "Be", "H", "H", "H", "H", "H", "H"],
  "fractional_positions": [[0.000, 0.000, 0.000], [0.249, 0.749, 0.500], [0.751, 0.251, 0.500], [0.500, 0.500, 0.000], [0.192, 0.500, 0.692], [0.260, 0.260, 0.000], [0.500, 0.180, 0.680], [0.500, 0.820, 0.320], [0.740, 0.740, 0.000], [0.808, 0.500, 0.308]],
  "e_tot_ev_per_atom": -2.749
}